Record 1
Compound: Tb6HoTh2
Source: Alexandria via LeMat-Bulk
Functional: PBE
Structure: relaxed

abc: 16.8637 9.7118 3.4889
angles: 90.00 90.08 90.00
Space group C2/m (No. 12)
One atom of each set of equivalent atoms:
Tb 0.0000 0.1663 0.0000 [4 per cell]
Tb 0.1667 0.3334 0.9996 [8 per cell]
Ho 0.0000 0.5000 0.5000 [2 per cell]
Th 0.1668 0.0000 0.4997 [4 per cell]

Properties
Magnetic moment ... 0.0 Bohr magnetons per cell
Distance to the lowest polymorph of the same formula ... 0.0 meV per atom
Calculated total energy ... -93.45 eV per cell
Formation enthalpy at 0 K ... 0.053 eV per atom

Record 2
Compound: TbHo2Th
Source: Alexandria via LeMat-Bulk
Functional: PBE
Structure: relaxed

abc: 6.2186 5.7251 14.4022
angles: 90.00 90.00 90.00
Space group Pnma (No. 62)
One atom of each set of equivalent atoms:
Tb 0.0776 0.2500 0.1880 [4 per cell]
Ho 0.0790 0.2500 0.6829 [4 per cell]
Ho 0.0945 0.2500 0.9396 [4 per cell]
Th 0.0839 0.2500 0.4396 [4 per cell]

Properties
Magnetic moment ... 0.0 Bohr magnetons per cell
Distance to the lowest polymorph of the same formula ... 30.2 meV per atom
Calculated total energy ... -84.23 eV per cell
Formation enthalpy at 0 K ... 0.037 eV per atom

Record 3
Compound: Tb4Ho3Th
Source: Alexandria via LeMat-Bulk
Functional: PBE
Structure: relaxed

abc: 23.2700 3.4487 6.7284
angles: 90.00 106.77 90.00
Space group C2/m (No. 12)
One atom of each set of equivalent atoms:
Tb 0.1235 0.0000 0.3640 [4 per cell]
Tb 0.2412 0.5000 0.2389 [4 per cell]
Ho 0.0000 0.0000 0.5000 [2 per cell]
Ho 0.1237 0.0000 0.8839 [4 per cell]
Th 0.0000 0.5000 0.0000 [2 per cell]

Properties
Magnetic moment ... 0.0 Bohr magnetons per cell
Distance to the lowest polymorph of the same formula ... 147.4 meV per atom
Calculated total energy ... -76.58 eV per cell
Formation enthalpy at 0 K ... 0.173 eV per atom

Record 4
Compound: Tb2Ho3Th
Source: Alexandria via LeMat-Bulk
Functional: PBE
Structure: relaxed

abc: 12.2842 5.8217 11.1859
angles: 90.00 107.98 90.00
Space group C2/m (No. 12)
One atom of each set of equivalent atoms:
Tb 0.1279 0.0000 0.1107 [4 per cell]
Tb 0.1304 0.5000 0.6258 [4 per cell]
Ho 0.1220 0.5000 0.2887 [4 per cell]
Ho 0.1245 0.5000 0.9599 [4 per cell]
Ho 0.1283 0.0000 0.4710 [4 per cell]
Th 0.1108 0.0000 0.7857 [4 per cell]

Properties
Magnetic moment ... 0.0 Bohr magnetons per cell
Distance to the lowest polymorph of the same formula ... 0.0 meV per atom
Calculated total energy ... -118.49 eV per cell
Formation enthalpy at 0 K ... 0.132 eV per atom

Record 5
Compound: TbHo2Th
Source: Alexandria via LeMat-Bulk
Functional: PBE
Structure: relaxed

abc: 3.5621 3.5621 34.4592
angles: 90.00 90.00 120.00
Space group R-3m (No. 166, hexagonal axes)
One atom of each set of equivalent atoms:
Tb 0.0000 0.0000 0.0000 [3 per cell]
Ho 0.0000 0.0000 0.2487 [6 per cell]
Th 0.0000 0.0000 0.5000 [3 per cell]

Properties
Magnetic moment ... 0.0 Bohr magnetons per cell
Distance to the lowest polymorph of the same formula ... 13.9 meV per atom
Calculated total energy ... -63.37 eV per cell
Formation enthalpy at 0 K ... 0.020 eV per atom

Record 6
Compound: TbHo2Th
Source: Alexandria via LeMat-Bulk
Functional: PBE
Structure: relaxed

abc: 3.5508 3.5508 10.0512
angles: 90.00 90.00 90.00
Space group P4/mmm (No. 123)
One atom of each set of equivalent atoms:
Tb 0.0000 0.0000 0.0000 [1 per cell]
Ho 0.5000 0.5000 0.2547 [2 per cell]
Th 0.0000 0.0000 0.5000 [1 per cell]

Properties
Magnetic moment ... 0.0 Bohr magnetons per cell
Distance to the lowest polymorph of the same formula ... 17.3 meV per atom
Calculated total energy ... -21.11 eV per cell
Formation enthalpy at 0 K ... 0.024 eV per atom

Record 7
Compound: Tb4Ho5Th4
Source: Alexandria via LeMat-Bulk
Functional: PBE
Structure: relaxed

abc: 12.8177 12.8177 5.0358
angles: 90.00 90.00 90.00
Space group I4/m (No. 87)
One atom of each set of equivalent atoms:
Tb 0.1526 0.7673 0.0000 [8 per cell]
Ho 0.0000 0.0000 0.0000 [2 per cell]
Ho 0.0386 0.1942 0.5000 [8 per cell]
Th 0.0758 0.3868 0.0000 [8 per cell]

Properties
Magnetic moment ... 0.0 Bohr magnetons per cell
Calculated total energy ... -141.36 eV per cell
Formation enthalpy at 0 K ... 0.031 eV per atom

Record 8
Compound: TbHo5Th5
Source: Alexandria via LeMat-Bulk
Functional: PBE
Structure: relaxed

abc: 6.2959 6.2959 11.1371
angles: 90.00 90.00 120.00
Space group P-6m2 (No. 187)
One atom of each set of equivalent atoms:
Tb 0.0000 0.0000 0.0000 [1 per cell]
Ho 0.0000 0.0000 0.3284 [2 per cell]
Ho 0.3333 0.6667 0.1813 [2 per cell]
Ho 0.6667 0.3333 0.0000 [1 per cell]
Th 0.0134 0.5067 0.5000 [3 per cell]
Th 0.6667 0.3333 0.2687 [2 per cell]

Properties
Magnetic moment ... 0.0 Bohr magnetons per cell
Calculated total energy ... -60.48 eV per cell
Formation enthalpy at 0 K ... 0.376 eV per atom

The records above yield density of states at the Fermi level values of 24.6, 24.5, 27.7, 43.1, 16.6, 5.0, 35.4, 17.8 states/eV per cell, respectively.